Arrangement 1

Computed, not measured: crystalline OsAuSCl2 at its relaxed geometry at the PBE level of DFT.

Summary:
Space-group type: No. 123
Calculated volume, Å³/f.u.: 120.3
Size of the total moment, Bohr magnetons per cell: 4.4

Cell: 4.858 4.858 5.097 Å, 90.00 90.00 90.00°
Sites, in units of the cell vectors:
Os: 0.000 0.000 0.000
Au: 0.500 0.500 0.500
S: 0.500 0.500 0.000
Cl: 0.000 0.500 0.500
Cl: 0.500 0.000 0.500


Arrangement 2

Computed, not measured: crystalline OsAuSCl2 at its relaxed geometry at the PBE level of DFT.

Summary:
Space-group type: No. 123
Calculated volume, Å³/f.u.: 108.0
Size of the total moment, Bohr magnetons per cell: 0.0

Cell: 4.961 4.961 4.388 Å, 90.00 90.00 90.00°
Sites, in units of the cell vectors:
Os: 0.000 0.000 0.000
Au: 0.500 0.500 0.500
S: 0.000 0.000 0.500
Cl: 0.000 0.500 0.000
Cl: 0.500 0.000 0.000


Stability check: which of them is most stable? arrangement 2.


Arrangement 1

Computed, not measured: crystalline PAu2Cl at its relaxed geometry at the PBE level of DFT.

Summary:
Space-group type: No. 8
Calculated volume, Å³/f.u.: 101.3
Size of the total moment, Bohr magnetons per cell: 0.0

Cell: 4.544 4.544 7.752 Å, 109.78 109.78 42.77°
Sites, in units of the cell vectors:
P: 0.000 0.000 0.000
Au: 0.572 0.572 0.247
Au: 0.701 0.701 0.940
Cl: 0.132 0.132 0.502


Arrangement 2

Computed, not measured: crystalline PAu2Cl at its relaxed geometry at the PBE level of DFT.

Summary:
Space-group type: No. 123
Calculated volume, Å³/f.u.: 73.3
Size of the total moment, Bohr magnetons per cell: 0.0

Cell: 5.008 5.008 2.923 Å, 90.00 90.00 90.00°
Sites, in units of the cell vectors:
P: 0.000 0.000 0.000
Au: 0.000 0.500 0.500
Au: 0.500 0.000 0.500
Cl: 0.500 0.500 0.000


Stability check: which of them is most stable? arrangement 1.


Arrangement 1

Computed, not measured: crystalline PAu2Cl at its relaxed geometry at the PBE level of DFT.

Summary:
Space-group type: No. 216
Calculated volume, Å³/f.u.: 74.3
Size of the total moment, Bohr magnetons per cell: 0.0

Cell: 4.719 4.719 4.719 Å, 60.00 60.00 60.00°
Sites, in units of the cell vectors:
P: 0.000 0.000 0.000
Au: 0.250 0.250 0.250
Au: 0.500 0.500 0.500
Cl: 0.750 0.750 0.750


Arrangement 2

Computed, not measured: crystalline PAu2Cl at its relaxed geometry at the PBE level of DFT.

Summary:
Space-group type: No. 71
Calculated volume, Å³/f.u.: 76.5
Size of the total moment, Bohr magnetons per cell: 0.0

Cell: 6.385 6.385 6.385 Å, 153.38 138.83 49.70°
Sites, in units of the cell vectors:
P: 0.000 0.000 0.000
Au: 0.196 0.696 0.500
Au: 0.804 0.304 0.500
Cl: 0.500 0.500 0.000


Arrangement 3

Computed, not measured: crystalline PAu2Cl at its relaxed geometry at the PBE level of DFT.

Summary:
Space-group type: No. 47
Calculated volume, Å³/f.u.: 74.9
Size of the total moment, Bohr magnetons per cell: 0.0

Cell: 3.203 3.216 7.270 Å, 90.00 90.00 90.00°
Sites, in units of the cell vectors:
P: 0.000 0.000 0.000
Au: 0.500 0.500 0.210
Au: 0.500 0.500 0.790
Cl: 0.000 0.000 0.500


Arrangement 4

Computed, not measured: crystalline PAu2Cl at its relaxed geometry at the PBE level of DFT.

Summary:
Space-group type: No. 6
Calculated volume, Å³/f.u.: 94.4
Size of the total moment, Bohr magnetons per cell: 0.0

Cell: 3.919 3.524 6.866 Å, 90.00 95.14 90.00°
Sites, in units of the cell vectors:
P: 0.000 0.000 0.000
Au: 0.360 0.500 0.894
Au: 0.717 0.000 0.679
Cl: 0.680 0.500 0.406


Stability check: which of them is most stable? arrangement 4.


Arrangement 1

Computed, not measured: crystalline PAuCl4 at its relaxed geometry at the PBE level of DFT.

Summary:
Space-group type: No. 216
Calculated volume, Å³/f.u.: 134.5
Size of the total moment, Bohr magnetons per cell: 2.2

Cell: 5.751 5.751 5.751 Å, 60.00 60.00 60.00°
Sites, in units of the cell vectors:
P: 0.000 0.000 0.000
Au: 0.750 0.750 0.750
Cl: 0.376 0.376 0.376
Cl: 0.376 0.376 0.873
Cl: 0.376 0.873 0.376
Cl: 0.873 0.376 0.376


Arrangement 2

Computed, not measured: crystalline PAuCl4 at its relaxed geometry at the PBE level of DFT.

Summary:
Space-group type: No. 14
Calculated volume, Å³/f.u.: 192.7
Size of the total moment, Bohr magnetons per cell: 0.0

Cell: 7.693 15.337 6.556 Å, 90.00 94.77 90.00°
Sites, in units of the cell vectors:
P: 0.246 0.132 0.497
P: 0.246 0.368 0.997
P: 0.754 0.632 0.003
P: 0.754 0.868 0.503
Au: 0.039 0.235 0.490
Au: 0.039 0.265 0.990
Au: 0.961 0.735 0.010
Au: 0.961 0.765 0.510
Cl: 0.172 0.659 0.517
Cl: 0.172 0.841 0.017
Cl: 0.192 0.027 0.318
Cl: 0.192 0.473 0.818
Cl: 0.311 0.078 0.774
Cl: 0.311 0.422 0.274
Cl: 0.476 0.174 0.409
Cl: 0.476 0.326 0.909
Cl: 0.524 0.674 0.091
Cl: 0.524 0.826 0.591
Cl: 0.689 0.578 0.726
Cl: 0.689 0.922 0.226
Cl: 0.808 0.527 0.182
Cl: 0.808 0.973 0.682
Cl: 0.828 0.159 0.983
Cl: 0.828 0.341 0.483


Stability check: which of them is most stable? arrangement 2.


Arrangement 1

Computed, not measured: crystalline P2PbAuCl at its relaxed geometry at the PBE level of DFT.

Summary:
Space-group type: No. 123
Calculated volume, Å³/f.u.: 143.9
Size of the total moment, Bohr magnetons per cell: 1.3

Cell: 4.798 4.798 6.252 Å, 90.00 90.00 90.00°
Sites, in units of the cell vectors:
P: 0.000 0.500 0.000
P: 0.500 0.000 0.000
Pb: 0.000 0.000 0.500
Au: 0.500 0.500 0.000
Cl: 0.500 0.500 0.500


Arrangement 2

Computed, not measured: crystalline P2PbAuCl at its relaxed geometry at the PBE level of DFT.

Summary:
Space-group type: No. 123
Calculated volume, Å³/f.u.: 155.3
Size of the total moment, Bohr magnetons per cell: 2.2

Cell: 5.415 5.415 5.295 Å, 90.00 90.00 90.00°
Sites, in units of the cell vectors:
P: 0.000 0.500 0.000
P: 0.500 0.000 0.000
Pb: 0.000 0.000 0.000
Au: 0.500 0.500 0.500
Cl: 0.000 0.000 0.500


Stability check: which of them is most stable? arrangement 1.


Arrangement 1

Computed, not measured: crystalline PPdAuCl2 at its relaxed geometry at the PBE level of DFT.

Summary:
Space-group type: No. 123
Calculated volume, Å³/f.u.: 110.9
Size of the total moment, Bohr magnetons per cell: 0.0

Cell: 4.854 4.854 4.708 Å, 90.00 90.00 90.00°
Sites, in units of the cell vectors:
P: 0.000 0.000 0.000
Pd: 0.000 0.000 0.500
Au: 0.500 0.500 0.000
Cl: 0.000 0.500 0.500
Cl: 0.500 0.000 0.500


Arrangement 2

Computed, not measured: crystalline PPdAuCl2 at its relaxed geometry at the PBE level of DFT.

Summary:
Space-group type: No. 123
Calculated volume, Å³/f.u.: 121.4
Size of the total moment, Bohr magnetons per cell: 1.1

Cell: 5.030 5.030 4.798 Å, 90.00 90.00 90.00°
Sites, in units of the cell vectors:
P: 0.000 0.000 0.000
Pd: 0.500 0.500 0.000
Au: 0.000 0.000 0.500
Cl: 0.000 0.500 0.500
Cl: 0.500 0.000 0.500


Stability check: which of them is most stable? arrangement 1.


Arrangement 1

Computed, not measured: crystalline PPtAuCl2 at its relaxed geometry at the PBE level of DFT.

Summary:
Space-group type: No. 123
Calculated volume, Å³/f.u.: 117.2
Size of the total moment, Bohr magnetons per cell: 1.2

Cell: 4.800 4.800 5.087 Å, 90.00 90.00 90.00°
Sites, in units of the cell vectors:
P: 0.000 0.000 0.000
Pt: 0.500 0.500 0.000
Au: 0.000 0.000 0.500
Cl: 0.000 0.500 0.500
Cl: 0.500 0.000 0.500


Arrangement 2

Computed, not measured: crystalline PPtAuCl2 at its relaxed geometry at the PBE level of DFT.

Summary:
Space-group type: No. 123
Calculated volume, Å³/f.u.: 113.4
Size of the total moment, Bohr magnetons per cell: 0.0

Cell: 4.963 4.963 4.603 Å, 90.00 90.00 90.00°
Sites, in units of the cell vectors:
P: 0.000 0.000 0.000
Pt: 0.000 0.000 0.500
Au: 0.500 0.500 0.000
Cl: 0.000 0.500 0.500
Cl: 0.500 0.000 0.500


Stability check: which of them is most stable? arrangement 2.


Arrangement 1

Computed, not measured: crystalline RbP2AuCl at its relaxed geometry at the PBE level of DFT.

Summary:
Space-group type: No. 123
Calculated volume, Å³/f.u.: 164.7
Size of the total moment, Bohr magnetons per cell: 1.1

Cell: 4.706 4.706 7.439 Å, 90.00 90.00 90.00°
Sites, in units of the cell vectors:
Rb: 0.000 0.000 0.000
P: 0.000 0.500 0.500
P: 0.500 0.000 0.500
Au: 0.500 0.500 0.500
Cl: 0.500 0.500 0.000


Arrangement 2

Computed, not measured: crystalline RbP2AuCl at its relaxed geometry at the PBE level of DFT.

Summary:
Space-group type: No. 123
Calculated volume, Å³/f.u.: 285.7
Size of the total moment, Bohr magnetons per cell: 5.1

Cell: 6.973 6.973 5.876 Å, 90.00 90.00 90.00°
Sites, in units of the cell vectors:
Rb: 0.000 0.000 0.000
P: 0.000 0.500 0.000
P: 0.500 0.000 0.000
Au: 0.500 0.500 0.500
Cl: 0.000 0.000 0.500


Stability check: which of them is most stable? arrangement 1.


Arrangement 1

Computed, not measured: crystalline RePAuCl2 at its relaxed geometry at the PBE level of DFT.

Summary:
Space-group type: No. 123
Calculated volume, Å³/f.u.: 121.3
Size of the total moment, Bohr magnetons per cell: 4.3

Cell: 4.829 4.829 5.202 Å, 90.00 90.00 90.00°
Sites, in units of the cell vectors:
Re: 0.000 0.000 0.000
P: 0.500 0.500 0.000
Au: 0.500 0.500 0.500
Cl: 0.000 0.500 0.500
Cl: 0.500 0.000 0.500


Arrangement 2

Computed, not measured: crystalline RePAuCl2 at its relaxed geometry at the PBE level of DFT.

Summary:
Space-group type: No. 123
Calculated volume, Å³/f.u.: 108.1
Size of the total moment, Bohr magnetons per cell: 1.4

Cell: 4.801 4.801 4.689 Å, 90.00 90.00 90.00°
Sites, in units of the cell vectors:
Re: 0.000 0.000 0.000
P: 0.000 0.000 0.500
Au: 0.500 0.500 0.500
Cl: 0.000 0.500 0.000
Cl: 0.500 0.000 0.000


Stability check: which of them is most stable? arrangement 2.


Arrangement 1

Computed, not measured: crystalline PAuS2Cl at its relaxed geometry at the PBE level of DFT.

Summary:
Space-group type: No. 123
Calculated volume, Å³/f.u.: 98.0
Size of the total moment, Bohr magnetons per cell: 0.0

Cell: 4.545 4.545 4.745 Å, 90.00 90.00 90.00°
Sites, in units of the cell vectors:
P: 0.000 0.000 0.000
Au: 0.500 0.500 0.500
S: 0.000 0.500 0.000
S: 0.500 0.000 0.000
Cl: 0.000 0.000 0.500


Arrangement 2

Computed, not measured: crystalline PAuS2Cl at its relaxed geometry at the PBE level of DFT.

Summary:
Space-group type: No. 123
Calculated volume, Å³/f.u.: 118.7
Size of the total moment, Bohr magnetons per cell: 2.7

Cell: 4.909 4.909 4.927 Å, 90.00 90.00 90.00°
Sites, in units of the cell vectors:
P: 0.000 0.000 0.000
Au: 0.000 0.000 0.500
S: 0.000 0.500 0.500
S: 0.500 0.000 0.500
Cl: 0.500 0.500 0.000


Arrangement 3

Computed, not measured: crystalline PAuS2Cl at its relaxed geometry at the PBE level of DFT.

Summary:
Space-group type: No. 123
Calculated volume, Å³/f.u.: 114.7
Size of the total moment, Bohr magnetons per cell: 0.6

Cell: 4.887 4.887 4.804 Å, 90.00 90.00 90.00°
Sites, in units of the cell vectors:
P: 0.000 0.000 0.000
Au: 0.500 0.500 0.500
S: 0.000 0.500 0.500
S: 0.500 0.000 0.500
Cl: 0.500 0.500 0.000


Arrangement 4

Computed, not measured: crystalline PAuS2Cl at its relaxed geometry at the PBE level of DFT.

Summary:
Space-group type: No. 123
Calculated volume, Å³/f.u.: 100.6
Size of the total moment, Bohr magnetons per cell: 0.0

Cell: 4.546 4.546 4.866 Å, 90.00 90.00 90.00°
Sites, in units of the cell vectors:
P: 0.000 0.000 0.000
Au: 0.500 0.500 0.000
S: 0.000 0.500 0.500
S: 0.500 0.000 0.500
Cl: 0.000 0.000 0.500


Stability check: which of them is most stable? arrangement 1.


Arrangement 1

Computed, not measured: crystalline P2AuSCl at its relaxed geometry at the PBE level of DFT.

Summary:
Space-group type: No. 123
Calculated volume, Å³/f.u.: 100.8
Size of the total moment, Bohr magnetons per cell: 0.4

Cell: 4.584 4.584 4.797 Å, 90.00 90.00 90.00°
Sites, in units of the cell vectors:
P: 0.000 0.500 0.000
P: 0.500 0.000 0.000
Au: 0.000 0.000 0.500
S: 0.500 0.500 0.500
Cl: 0.500 0.500 0.000


Arrangement 2

Computed, not measured: crystalline P2AuSCl at its relaxed geometry at the PBE level of DFT.

Summary:
Space-group type: No. 123
Calculated volume, Å³/f.u.: 117.7
Size of the total moment, Bohr magnetons per cell: 0.9

Cell: 4.926 4.926 4.850 Å, 90.00 90.00 90.00°
Sites, in units of the cell vectors:
P: 0.000 0.500 0.000
P: 0.500 0.000 0.000
Au: 0.000 0.000 0.000
S: 0.000 0.000 0.500
Cl: 0.500 0.500 0.500


Stability check: which of them is most stable? arrangement 2.


Arrangement 1

Computed, not measured: crystalline PAuSeCl2 at its relaxed geometry at the PBE level of DFT.

Summary:
Space-group type: No. 123
Calculated volume, Å³/f.u.: 121.8
Size of the total moment, Bohr magnetons per cell: 0.6

Cell: 4.859 4.859 5.160 Å, 90.00 90.00 90.00°
Sites, in units of the cell vectors:
P: 0.000 0.000 0.000
Au: 0.000 0.000 0.500
Se: 0.500 0.500 0.000
Cl: 0.000 0.500 0.500
Cl: 0.500 0.000 0.500


Arrangement 2

Computed, not measured: crystalline PAuSeCl2 at its relaxed geometry at the PBE level of DFT.

Summary:
Space-group type: No. 123
Calculated volume, Å³/f.u.: 119.7
Size of the total moment, Bohr magnetons per cell: 0.0

Cell: 4.758 4.758 5.289 Å, 90.00 90.00 90.00°
Sites, in units of the cell vectors:
P: 0.000 0.000 0.000
Au: 0.500 0.500 0.000
Se: 0.000 0.000 0.500
Cl: 0.000 0.500 0.500
Cl: 0.500 0.000 0.500


Stability check: which of them is most stable? arrangement 1.